Record 1
The following is a PBE-GGA calculation of a relaxed structure of SrPrEr, from the Alexandria database.

It has space group P3m1 (No. 156), with a = 3.7693 Å, b = 3.7693 Å, c = 9.3702 Å, α = 90.00°, β = 90.00° and γ = 120.00°. The distinct sites, in fractional coordinates, are Sr at (0.0000, 0.0000, 0.0000), Pr at (0.6667, 0.3333, 0.3624) and Er at (0.3333, 0.6667, 0.6563).

The value obtained for the formation energy is 131 meV per atom. The value obtained for the electronic total energy is -10.631 eV/cell. The calculation puts the total magnetic moment at 0.0000 μB per atom. Its excess energy over the best structure of this formula in the dataset is 19 meV per atom.

Record 2
The following is a PBE-GGA calculation of a relaxed structure of PuScInGa, from the Alexandria database.

It has space group P4mm (No. 99), with a = 3.184 Å, b = 3.184 Å, c = 8.773 Å, α = 90.00°, β = 90.00° and γ = 90.00°. The distinct sites, in fractional coordinates, are Pu at (0.000, 0.000, 0.000), Sc at (0.000, 0.000, 0.540), In at (0.500, 0.500, 0.284) and Ga at (0.500, 0.500, 0.754).

The value obtained for the formation energy is -375 meV per atom. The value obtained for the electronic total energy is -27.928 eV/cell. The calculation puts the total magnetic moment at 1.3376 μB per atom. Its excess energy over the best structure of this formula in the dataset is 0 meV per atom.

Record 3
The following is a PBE-GGA calculation of a relaxed structure of ZrNiIr, from the Alexandria database.

It has space group P6_3/mmc (No. 194), with a = 4.3929 Å, b = 4.3929 Å, c = 5.5198 Å, α = 90.00°, β = 90.00° and γ = 120.00°. The distinct sites, in fractional coordinates, are Zr at (0.3333, 0.6667, 0.2500), Ni at (0.3333, 0.6667, 0.7500) and Ir at (0.0000, 0.0000, 0.0000).

The value obtained for the formation energy is -652 meV per atom. The value obtained for the electronic total energy is -50.291 eV/cell. The calculation puts the total magnetic moment at 0.0000 μB per atom.

Record 4
The following is a PBE-GGA calculation of a relaxed structure of NaPm3Y2Te6, from the Alexandria database.

It has space group C2/m (No. 12), with a = 19.375 Å, b = 4.420 Å, c = 8.918 Å, α = 90.00°, β = 103.51° and γ = 90.00°. The distinct sites, in fractional coordinates, are Na at (0.000, 0.000, 0.000), Pm at (0.000, 0.000, 0.500), Pm at (0.162, 0.500, 0.824), Y at (0.167, 0.500, 0.340), Te at (0.004, 0.500, 0.248), Te at (0.168, 0.000, 0.088) and Te at (0.168, 0.000, 0.579).

The value obtained for the electronic total energy is -127.386 eV/cell. The calculation puts the total magnetic moment at 0.0000 μB per atom. For the formation energy (no corrections), the calculation gives -1.3620 eV per atom.

Record 5
The following is a PBE-GGA calculation of a relaxed structure of InGaRu, from the Alexandria database.

It has space group C2/m (No. 12), with a = 11.235 Å, b = 3.042 Å, c = 6.887 Å, α = 90.00°, β = 110.91° and γ = 90.00°. The distinct sites, in fractional coordinates, are In at (0.081, 0.000, 0.271), Ga at (0.168, 0.000, 0.694) and Ru at (0.138, 0.500, 0.975).

The value obtained for the formation energy is -78 meV per atom. The value obtained for the electronic total energy is -61.098 eV/cell. The calculation puts the total magnetic moment at 0.0000 μB per atom. Its excess energy over the best structure of this formula in the dataset is 36 meV per atom.

Record 6
The following is a PBE-GGA calculation of a relaxed structure of Re4S, from the Alexandria database.

It has space group Pm-3m (No. 221), with a = 4.309 Å, b = 4.309 Å, c = 4.309 Å, α = 90.00°, β = 90.00° and γ = 90.00°. The distinct sites, in fractional coordinates, are Re at (0.000, 0.000, 0.000), Re at (0.000, 0.500, 0.500) and S at (0.500, 0.500, 0.500).

The value obtained for the electronic total energy is -48.009 eV/cell. The calculation puts the total magnetic moment at 0.1264 μB per atom. For the formation energy (no corrections), the calculation gives 1.1822 eV per atom.

Record 7
The following is a PBE-GGA calculation of a relaxed structure of KZnP2O, from the Alexandria database.

It has space group P4/mmm (No. 123), with a = 5.497 Å, b = 5.497 Å, c = 4.376 Å, α = 90.00°, β = 90.00° and γ = 90.00°. The distinct sites, in fractional coordinates, are K at (0.000, 0.000, 0.000), Zn at (0.500, 0.500, 0.500), P at (0.000, 0.500, 0.000) and O at (0.000, 0.000, 0.500).

The value obtained for the electronic total energy is -10.099 eV/cell. The calculation puts the total magnetic moment at 0.4324 μB per atom. Its excess energy over the best structure of this formula in the dataset is 1249 meV per atom. For the formation energy (no corrections), the calculation gives 1.6102 eV per atom.

Record 8
The following is a PBE-GGA calculation of a relaxed structure of BaS2IN, from the Alexandria database.

It has space group P4/mmm (No. 123), with a = 6.269 Å, b = 6.269 Å, c = 5.071 Å, α = 90.00°, β = 90.00° and γ = 90.00°. The distinct sites, in fractional coordinates, are Ba at (0.000, 0.000, 0.000), S at (0.000, 0.500, 0.000), I at (0.500, 0.500, 0.500) and N at (0.000, 0.000, 0.500).

The value obtained for the electronic total energy is -15.315 eV/cell. The calculation puts the total magnetic moment at 1.2034 μB per atom. Its excess energy over the best structure of this formula in the dataset is 857 meV per atom. For the formation energy (no corrections), the calculation gives 0.9476 eV per atom.

Record 9
The following is a PBE-GGA calculation of a relaxed structure of TlHgTeN2, from the Alexandria database.

It has space group P4/mmm (No. 123), with a = 4.467 Å, b = 4.467 Å, c = 6.380 Å, α = 90.00°, β = 90.00° and γ = 90.00°. The distinct sites, in fractional coordinates, are Tl at (0.000, 0.000, 0.000), Hg at (0.500, 0.500, 0.500), Te at (0.500, 0.500, 0.000) and N at (0.000, 0.500, 0.500).

The value obtained for the electronic total energy is -14.180 eV/cell. The calculation puts the total magnetic moment at 0.7169 μB per atom. Its excess energy over the best structure of this formula in the dataset is 19 meV per atom. For the formation energy (no corrections), the calculation gives 1.6560 eV per atom.

Record 10
The following is a PBE-GGA calculation of a relaxed structure of BeNbCd2H, from the Alexandria database.

It has space group P4/mmm (No. 123), with a = 4.137 Å, b = 4.137 Å, c = 4.256 Å, α = 90.00°, β = 90.00° and γ = 90.00°. The distinct sites, in fractional coordinates, are Be at (0.000, 0.000, 0.000), Nb at (0.500, 0.500, 0.000), Cd at (0.000, 0.500, 0.500) and H at (0.000, 0.000, 0.500).

The value obtained for the electronic total energy is -16.064 eV/cell. The calculation puts the total magnetic moment at 0.0000 μB per atom.